1.
The following is a DFT calculation (PBE) of a relaxed structure of Tb3Sc2PaAs6.

a = 6.999 Å, b = 6.999 Å, c = 7.035 Å
α = 99.55°, β = 99.55°, γ = 120.02°
Sites, in units of the cell vectors:
Tb  0.166  0.834  0.500
Tb  0.834  0.166  0.500
Tb  0.500  0.500  0.500
Sc  0.333  0.667  0.000
Sc  0.667  0.333  0.000
Pa  0.000  0.000  0.000
As  0.921  0.583  0.762
As  0.741  0.741  0.236
As  0.079  0.417  0.238
As  0.583  0.921  0.762
As  0.259  0.259  0.764
As  0.417  0.079  0.238

Values from the calculation:
ΔH_f (0 K)   -1.405 eV per atom
Symmetry   C2/m
Crystal system   monoclinic


2.
The following is a DFT calculation (PBE) of a relaxed structure of Y2SiRh.

a = 4.800 Å, b = 4.800 Å, c = 4.800 Å
α = 60.00°, β = 60.00°, γ = 60.00°
Sites, in units of the cell vectors:
Rh  0.500  0.500  0.500
Si  0.250  0.250  0.250
Y  0.000  0.000  0.000
Y  0.750  0.750  0.750

Values from the calculation:
ΔE_f (raw)   -0.34 eV per atom
Symmetry   F-43m
Crystal system   cubic


3.
The following is a DFT calculation (PBE) of a relaxed structure of BaLuAu2.

a = 3.692 Å, b = 3.692 Å, c = 7.816 Å
α = 90.00°, β = 90.00°, γ = 90.00°
Sites, in units of the cell vectors:
Lu  0.500  0.500  0.000
Au  0.000  0.000  0.806
Au  0.000  0.000  0.194
Ba  0.500  0.500  0.500

Values from the calculation:
Energy above the most stable polymorph in this dataset   0.000 eV/atom
ΔH_f (0 K)   -0.750 eV per atom
Symmetry   P4/mmm
Crystal system   tetragonal


4.
The following is a DFT calculation (PBE) of a relaxed structure of SrInSnOs2.

a = 5.037 Å, b = 5.382 Å, c = 5.037 Å
α = 90.00°, β = 90.00°, γ = 90.00°
Site moments in Bohr magnetons follow the coordinates.
Sites, in units of the cell vectors:
Sr  0.500  0.500  0.500  -0.01
Os  0.000  0.000  0.500  0.82
Os  0.500  0.000  0.000  0.62
Sn  0.000  0.500  0.000  -0.05
In  0.000  0.000  0.000  -0.02

Values from the calculation:
ΔH_f (0 K)   1.502 eV per atom
Symmetry   P4/mmm
Crystal system   tetragonal


Number 1: V 281.5 Å³/cell. Number 2: V 78.2 Å³/cell. Number 3: V 106.5 Å³/cell. Number 4: V 136.5 Å³/cell.